# MnSiP2 (PBE, optimized geometry)
# - Formation energy from raw total energies: 0.92 eV/f.u.
# - DOS at the Fermi energy: 0.444 states/eV/atom
data_MnSiP2
_symmetry_space_group_name_H-M 'I m m m'
_symmetry_Int_Tables_number 71
_symmetry_space_group_name_Hall '-I 2 2'
_cell_length_a 3.264
_cell_length_b 4.802
_cell_length_c 7.130
_cell_angle_alpha 90.00
_cell_angle_beta 90.00
_cell_angle_gamma 90.00
loop_
_atom_site_label
_atom_site_fract_x
_atom_site_fract_y
_atom_site_fract_z
Mn1 0.000 0.000 0.000
Si1 0.000 0.000 0.500
P1 0.000 0.500 0.233


# Pr4TlCd2Hg (PBE, optimized geometry)
# - Formation energy from the elements: -288 kJ/mol of formula units
# - DOS at the Fermi energy: 1.135 states/eV/atom
data_Pr4TlCd2Hg
_symmetry_space_group_name_H-M 'R -3 m'
_symmetry_Int_Tables_number 166
_symmetry_space_group_name_Hall '-R 3 2"'
_cell_length_a 5.5037
_cell_length_b 5.5037
_cell_length_c 27.0097
_cell_angle_alpha 90.00
_cell_angle_beta 90.00
_cell_angle_gamma 120.00
loop_
_atom_site_label
_atom_site_fract_x
_atom_site_fract_y
_atom_site_fract_z
Pr1 0.0000 0.0000 0.1233
Pr2 0.0000 0.0000 0.3733
Tl1 0.0000 0.0000 0.5000
Cd1 0.0000 0.0000 0.2490
Hg1 0.0000 0.0000 0.0000


# Cr2AgSe (PBE, optimized geometry)
# - Formation energy from raw total energies: 1.14 eV/f.u.
# - DOS at the Fermi energy: 0.500 states/eV/atom
data_Cr2AgSe
_symmetry_space_group_name_H-M 'C 1 m 1'
_symmetry_Int_Tables_number 8
_symmetry_space_group_name_Hall 'C -2y'
_cell_length_a 8.615
_cell_length_b 3.150
_cell_length_c 5.258
_cell_angle_alpha 90.00
_cell_angle_beta 97.49
_cell_angle_gamma 90.00
loop_
_atom_site_label
_atom_site_fract_x
_atom_site_fract_y
_atom_site_fract_z
Cr1 0.000 0.000 0.000
Cr2 0.225 0.500 0.152
Ag1 0.476 0.000 0.445
Se1 0.260 0.000 0.794


# Cs5Na6Pb (PBE, optimized geometry)
# - Formation energy from the elements: 29 kJ/mol of formula units
# - DOS at the Fermi energy: 0.777 states/eV/atom
data_Cs5Na6Pb
_symmetry_space_group_name_H-M 'C 1 2/m 1'
_symmetry_Int_Tables_number 12
_symmetry_space_group_name_Hall '-C 2y'
_cell_length_a 8.298
_cell_length_b 19.219
_cell_length_c 10.350
_cell_angle_alpha 90.00
_cell_angle_beta 110.13
_cell_angle_gamma 90.00
loop_
_atom_site_label
_atom_site_fract_x
_atom_site_fract_y
_atom_site_fract_z
Cs1 0.000 0.000 0.000
Cs2 0.000 0.301 0.000
Cs3 0.000 0.373 0.500
Na1 0.036 0.145 0.673
Na2 0.156 0.500 0.206
Pb1 0.000 0.000 0.500


# Zr2RuF (PBE, optimized geometry)
# - Formation energy from raw total energies: -3.60 eV/f.u.
# - DOS at the Fermi energy: 1.024 states/eV/atom
data_Zr2RuF
_symmetry_space_group_name_H-M 'I -4 2 d'
_symmetry_Int_Tables_number 122
_symmetry_space_group_name_Hall 'I -4 2bw'
_cell_length_a 6.480
_cell_length_b 6.480
_cell_length_c 6.748
_cell_angle_alpha 90.00
_cell_angle_beta 90.00
_cell_angle_gamma 90.00
loop_
_atom_site_label
_atom_site_fract_x
_atom_site_fract_y
_atom_site_fract_z
Zr1 0.204 0.250 0.125
Ru1 0.000 0.000 0.500
F1 0.000 0.000 0.000


# BaSc2Ni (PBE, optimized geometry)
# - Formation energy from the elements: 165 kJ/mol of formula units
# - DOS at the Fermi energy: 1.379 states/eV/atom
data_BaSc2Ni
_symmetry_space_group_name_H-M 'I 41/a m d'
_symmetry_Int_Tables_number 141
_cell_length_a 7.638
_cell_length_b 7.638
_cell_length_c 10.742
_cell_angle_alpha 90.00
_cell_angle_beta 90.00
_cell_angle_gamma 90.00
loop_
_symmetry_equiv_pos_as_xyz
'x,y,z'
'-x,-y,-z'
'-y+1/4,x+3/4,z+1/4'
'y+1/4,-x+3/4,-z+1/4'
'-x+1/2,-y,z+1/2'
'x+1/2,y,-z+1/2'
'y+1/4,-x+1/4,z+3/4'
'-y+1/4,x+1/4,-z+3/4'
'x,-y,-z'
'-x,y,z'
'-y+1/4,-x+1/4,-z+3/4'
'y+1/4,x+1/4,z+3/4'
'-x+1/2,y,-z+1/2'
'x+1/2,-y,z+1/2'
'y+1/4,x+3/4,-z+1/4'
'-y+1/4,-x+3/4,z+1/4'
'x+1/2,y+1/2,z+1/2'
'-x+1/2,-y+1/2,-z+1/2'
'-y+3/4,x+1/4,z+3/4'
'y+3/4,-x+1/4,-z+3/4'
'-x,-y+1/2,z'
'x,y+1/2,-z'
'y+3/4,-x+3/4,z+1/4'
'-y+3/4,x+3/4,-z+1/4'
'x+1/2,-y+1/2,-z+1/2'
'-x+1/2,y+1/2,z+1/2'
'-y+3/4,-x+3/4,-z+1/4'
'y+3/4,x+3/4,z+1/4'
'-x,y+1/2,-z'
'x,-y+1/2,z'
'y+3/4,x+1/4,-z+3/4'
'-y+3/4,-x+1/4,z+3/4'
loop_
_atom_site_label
_atom_site_fract_x
_atom_site_fract_y
_atom_site_fract_z
Ba1 0.000 0.250 0.375
Sc1 0.000 0.000 0.000
Ni1 0.000 0.250 0.875


# LiNiSnSb (PBE, optimized geometry)
# - Formation energy from raw total energies: -0.51 eV/f.u.
# - DOS at the Fermi energy: 0.494 states/eV/atom
data_LiNiSnSb
_symmetry_space_group_name_H-M 'F -4 3 m'
_symmetry_Int_Tables_number 216
_symmetry_space_group_name_Hall 'F -4 2 3'
_cell_length_a 6.663
_cell_length_b 6.663
_cell_length_c 6.663
_cell_angle_alpha 90.00
_cell_angle_beta 90.00
_cell_angle_gamma 90.00
loop_
_atom_site_label
_atom_site_fract_x
_atom_site_fract_y
_atom_site_fract_z
Li1 0.000 0.000 0.000
Ni1 0.000 0.000 0.500
Sn1 0.250 0.250 0.250
Sb1 0.250 0.250 0.750


# VSb3Au (PBE, optimized geometry)
# - Formation energy from raw total energies: 4.77 eV/f.u.
# - DOS at the Fermi energy: 1.341 states/eV/atom
data_VSb3Au
_symmetry_space_group_name_H-M 'P m -3 m'
_symmetry_Int_Tables_number 221
_symmetry_space_group_name_Hall '-P 4 2 3'
_cell_length_a 5.359
_cell_length_b 5.359
_cell_length_c 5.359
_cell_angle_alpha 90.00
_cell_angle_beta 90.00
_cell_angle_gamma 90.00
loop_
_atom_site_label
_atom_site_fract_x
_atom_site_fract_y
_atom_site_fract_z
V1 0.000 0.000 0.000
Sb1 0.000 0.500 0.500
Au1 0.500 0.500 0.500


# SrLa2TcSe (PBE, optimized geometry)
# - Formation energy from raw total energies: -1.61 eV/f.u.
# - DOS at the Fermi energy: 0.959 states/eV/atom
data_SrLa2TcSe
_symmetry_space_group_name_H-M 'P 4/m m m'
_symmetry_Int_Tables_number 123
_symmetry_space_group_name_Hall '-P 4 2'
_cell_length_a 5.235
_cell_length_b 5.235
_cell_length_c 6.123
_cell_angle_alpha 90.00
_cell_angle_beta 90.00
_cell_angle_gamma 90.00
loop_
_atom_site_label
_atom_site_fract_x
_atom_site_fract_y
_atom_site_fract_z
Sr1 0.000 0.000 0.000
La1 0.000 0.500 0.500
Tc1 0.000 0.000 0.500
Se1 0.500 0.500 0.000


# Ac12P3Pt5 (PBE, optimized geometry)
# - Formation energy from the elements: -1276 kJ/mol of formula units
# - DOS at the Fermi energy: 0.892 states/eV/atom
data_Ac12P3Pt5
_symmetry_space_group_name_H-M 'I a -3 d'
_symmetry_Int_Tables_number 230
_symmetry_space_group_name_Hall '-I 4bd 2c 3'
_cell_length_a 18.064
_cell_length_b 18.064
_cell_length_c 18.064
_cell_angle_alpha 90.00
_cell_angle_beta 90.00
_cell_angle_gamma 90.00
loop_
_atom_site_label
_atom_site_fract_x
_atom_site_fract_y
_atom_site_fract_z
Ac1 0.021 0.066 0.651
P1 0.000 0.250 0.125
Pt1 0.000 0.000 0.000
Pt2 0.000 0.250 0.375


# Sm2DyEr9 (PBE, optimized geometry)
# - Formation energy from the elements: 27 kJ/mol of formula units
# - DOS at the Fermi energy: 1.397 states/eV/atom
data_Sm2DyEr9
_symmetry_space_group_name_H-M 'P 4/m m m'
_symmetry_Int_Tables_number 123
_symmetry_space_group_name_Hall '-P 4 2'
_cell_length_a 4.991
_cell_length_b 4.991
_cell_length_c 14.970
_cell_angle_alpha 90.00
_cell_angle_beta 90.00
_cell_angle_gamma 90.00
loop_
_atom_site_label
_atom_site_fract_x
_atom_site_fract_y
_atom_site_fract_z
Sm1 0.000 0.000 0.167
Dy1 0.000 0.000 0.500
Er1 0.000 0.500 0.000
Er2 0.000 0.500 0.334
Er3 0.500 0.500 0.167
Er4 0.500 0.500 0.500


Number 1: volume 112 Å³/cell, total moment 2.8 μB per formula unit. Number 2: volume 709 Å³/cell, total moment 1.8 μB per formula unit. Number 3: volume 141 Å³/cell, total moment 0.3 μB per formula unit. Number 4: volume 1550 Å³/cell, total moment 0.0 μB per formula unit. Number 5: volume 283 Å³/cell, total moment 0.0 μB per formula unit. Number 6: volume 627 Å³/cell, total moment 0.0 μB per formula unit. Number 7: volume 296 Å³/cell, total moment 0.0 μB per formula unit. Number 8: volume 154 Å³/cell, total moment 3.5 μB per formula unit. Number 9: volume 168 Å³/cell, total moment 0.0 μB per formula unit. Number 10: volume 5895 Å³/cell, total moment 0.0 μB per formula unit. Number 11: volume 373 Å³/cell, total moment 0.0 μB per formula unit.